Material: Pm2NiGe4Rh3
Method: DFT, PBE
State: relaxed

Output
volume	18.17	Å³/atom
VASP energy	-6.372	eV per atom
E_form	-18.24	kcal/mol of atoms

The structure in CIF format:
```
data_Pm2NiGe4Rh3
_cell_length_a 4.276
_cell_length_b 4.276
_cell_length_c 9.934
_cell_angle_alpha 90.00
_cell_angle_beta 90.00
_cell_angle_gamma 90.00
_space_group_name_H-M_alt 'P -4 m 2'
_space_group_IT_number 115
loop_
_space_group_symop_operation_xyz
'x,y,z'
'y,-x,-z'
'-x,-y,z'
'-y,x,-z'
'-x,y,z'
'-y,-x,-z'
'x,-y,z'
'y,x,-z'
loop_
_atom_site_label
_atom_site_type_symbol
_atom_site_fract_x
_atom_site_fract_y
_atom_site_fract_z
Pm1 Pm 0.000 0.500 0.248
Ni1 Ni 0.000 0.000 0.500
Ge1 Ge 0.000 0.000 0.000
Ge2 Ge 0.000 0.500 0.625
Ge3 Ge 0.500 0.500 0.000
Rh1 Rh 0.000 0.500 0.872
Rh2 Rh 0.500 0.500 0.500
```